1.
# TbSi2Ag PBE relaxed
data_TbSi2Ag
_chemical_formula_sum 'Tb4 Si8 Ag4'
_cell_length_a 6.733
_cell_length_b 4.194
_cell_length_c 10.846
_cell_angle_alpha 90.00
_cell_angle_beta 90.00
_cell_angle_gamma 90.00
_space_group_name_H-M_alt 'P n m a'
_space_group_IT_number 62
_space_group_name_Hall '-P 2ac 2n'
loop_
_atom_site_label
_atom_site_fract_x
_atom_site_fract_y
_atom_site_fract_z
Tb1 0.152 0.250 0.152
Si1 0.022 0.250 0.665
Si2 0.164 0.250 0.861
Ag1 0.162 0.250 0.447
# VASP energy: -5.029 eV/atom
# Energy relative to the elements, uncorrected: -0.45 eV per atom

***

2.
# Tb3Si4Ag PBE relaxed
data_Tb3Si4Ag
_chemical_formula_sum 'Tb6 Si8 Ag2'
_cell_length_a 4.220
_cell_length_b 5.802
_cell_length_c 14.916
_cell_angle_alpha 90.00
_cell_angle_beta 90.00
_cell_angle_gamma 90.00
_space_group_name_H-M_alt 'I m m m'
_space_group_IT_number 71
_space_group_name_Hall '-I 2 2'
loop_
_atom_site_label
_atom_site_fract_x
_atom_site_fract_y
_atom_site_fract_z
Tb1 0.000 0.000 0.000
Tb2 0.000 0.500 0.193
Si1 0.000 0.298 0.376
Ag1 0.000 0.000 0.500
# VASP energy: -5.292 eV/atom
# Energy relative to the elements, uncorrected: -0.49 eV per atom

***

3.
# TbSi2Ag6 PBE relaxed
data_TbSi2Ag6
_chemical_formula_sum 'Tb1 Si2 Ag6'
_cell_length_a 4.168
_cell_length_b 4.168
_cell_length_c 9.536
_cell_angle_alpha 90.00
_cell_angle_beta 90.00
_cell_angle_gamma 90.00
_space_group_name_H-M_alt 'P 4/m m m'
_space_group_IT_number 123
_space_group_name_Hall '-P 4 2'
loop_
_atom_site_label
_atom_site_fract_x
_atom_site_fract_y
_atom_site_fract_z
Tb1 0.000 0.000 0.000
Si1 0.500 0.500 0.119
Ag1 0.000 0.000 0.500
Ag2 0.000 0.500 0.279
Ag3 0.500 0.500 0.500
# VASP energy: -3.802 eV/atom
# Energy relative to the elements, uncorrected: -0.18 eV per atom

***

4.
# Tb4Si2Ag PBE relaxed
data_Tb4Si2Ag
_chemical_formula_sum 'Tb12 Si6 Ag3'
_cell_length_a 4.9199
_cell_length_b 4.9199
_cell_length_c 26.0494
_cell_angle_alpha 90.00
_cell_angle_beta 90.00
_cell_angle_gamma 120.00
_space_group_name_H-M_alt 'R -3 m'
_space_group_IT_number 166
_space_group_name_Hall '-R 3 2"'
loop_
_atom_site_label
_atom_site_fract_x
_atom_site_fract_y
_atom_site_fract_z
Tb1 0.0000 0.0000 0.1196
Tb2 0.0000 0.0000 0.2930
Si1 0.0000 0.0000 0.4047
Ag1 0.0000 0.0000 0.5000
# VASP energy: -4.966 eV/atom
# Energy relative to the elements, uncorrected: -0.36 eV per atom

***

5.
# TbSi2Ag2 PBE relaxed
data_TbSi2Ag2
_chemical_formula_sum 'Tb2 Si4 Ag4'
_cell_length_a 4.164
_cell_length_b 4.164
_cell_length_c 10.781
_cell_angle_alpha 90.00
_cell_angle_beta 90.00
_cell_angle_gamma 90.00
_space_group_name_H-M_alt 'I 4/m m m'
_space_group_IT_number 139
_space_group_name_Hall '-I 4 2'
loop_
_atom_site_label
_atom_site_fract_x
_atom_site_fract_y
_atom_site_fract_z
Tb1 0.000 0.000 0.000
Si1 0.000 0.000 0.394
Ag1 0.000 0.500 0.250
# VASP energy: -4.629 eV/atom
# Energy relative to the elements, uncorrected: -0.39 eV per atom

***

6.
# Tb5Si2Ag2 PBE relaxed
data_Tb5Si2Ag2
_chemical_formula_sum 'Tb20 Si8 Ag8'
_cell_length_a 15.807
_cell_length_b 7.526
_cell_length_c 7.518
_cell_angle_alpha 90.00
_cell_angle_beta 90.00
_cell_angle_gamma 90.00
_space_group_name_H-M_alt 'C m c e'
_space_group_IT_number 64
_space_group_name_Hall '-C 2ac 2'
loop_
_atom_site_label
_atom_site_fract_x
_atom_site_fract_y
_atom_site_fract_z
Tb1 0.000 0.000 0.000
Tb2 0.130 0.180 0.323
Si1 0.000 0.118 0.619
Ag1 0.214 0.000 0.000
# VASP energy: -4.901 eV/atom
# Energy relative to the elements, uncorrected: -0.49 eV per atom

***

7.
# TbSiAg PBE relaxed
data_TbSiAg
_chemical_formula_sum 'Tb1 Si1 Ag1'
_cell_length_a 4.4052
_cell_length_b 4.4052
_cell_length_c 3.6990
_cell_angle_alpha 90.00
_cell_angle_beta 90.00
_cell_angle_gamma 120.00
_space_group_name_H-M_alt 'P -6 m 2'
_space_group_IT_number 187
_space_group_name_Hall 'P -6 2'
loop_
_atom_site_label
_atom_site_fract_x
_atom_site_fract_y
_atom_site_fract_z
Tb1 0.0000 0.0000 0.0000
Si1 0.6667 0.3333 0.5000
Ag1 0.3333 0.6667 0.5000
# VASP energy: -4.803 eV/atom
# Energy relative to the elements, uncorrected: -0.50 eV per atom

***

8.
# TbThSiAg PBE relaxed
data_TbThSiAg
_chemical_formula_sum 'Tb4 Th4 Si4 Ag4'
_cell_length_a 7.276
_cell_length_b 7.276
_cell_length_c 7.276
_cell_angle_alpha 90.00
_cell_angle_beta 90.00
_cell_angle_gamma 90.00
_space_group_name_H-M_alt 'F -4 3 m'
_space_group_IT_number 216
_space_group_name_Hall 'F -4 2 3'
loop_
_atom_site_label
_atom_site_fract_x
_atom_site_fract_y
_atom_site_fract_z
Tb1 0.000 0.000 0.000
Th1 0.000 0.000 0.500
Si1 0.250 0.250 0.250
Ag1 0.250 0.250 0.750
# VASP energy: -5.397 eV/atom
# Energy relative to the elements, uncorrected: -0.32 eV per atom

***

9.
# TbTmSiAg PBE relaxed
data_TbTmSiAg
_chemical_formula_sum 'Tb4 Tm4 Si4 Ag4'
_cell_length_a 7.106
_cell_length_b 7.106
_cell_length_c 7.106
_cell_angle_alpha 90.00
_cell_angle_beta 90.00
_cell_angle_gamma 90.00
_space_group_name_H-M_alt 'F -4 3 m'
_space_group_IT_number 216
_space_group_name_Hall 'F -4 2 3'
loop_
_atom_site_label
_atom_site_fract_x
_atom_site_fract_y
_atom_site_fract_z
Tb1 0.000 0.000 0.000
Tm1 0.000 0.000 0.500
Si1 0.250 0.250 0.250
Ag1 0.250 0.250 0.750
# VASP energy: -4.781 eV/atom
# Energy relative to the elements, uncorrected: -0.44 eV per atom

***

10.
# SiTc3Ag PBE relaxed
data_SiTc3Ag
_chemical_formula_sum 'Si1 Tc3 Ag1'
_cell_length_a 4.806
_cell_length_b 4.806
_cell_length_c 4.806
_cell_angle_alpha 90.00
_cell_angle_beta 90.00
_cell_angle_gamma 90.00
_space_group_name_H-M_alt 'P m -3 m'
_space_group_IT_number 221
_space_group_name_Hall '-P 4 2 3'
loop_
_atom_site_label
_atom_site_fract_x
_atom_site_fract_y
_atom_site_fract_z
Si1 0.000 0.000 0.000
Tc1 0.000 0.500 0.500
Ag1 0.500 0.500 0.500
# Relative energy among the computed polymorphs: 151.9 kJ per mole of atoms
# VASP energy: -5.312 eV/atom
# Energy relative to the elements, uncorrected: 2.56 eV per atom

***

11.
# SiTc2Ag PBE relaxed
data_SiTc2Ag
_chemical_formula_sum 'Si1 Tc2 Ag1'
_cell_length_a 4.398
_cell_length_b 4.398
_cell_length_c 2.999
_cell_angle_alpha 90.00
_cell_angle_beta 90.00
_cell_angle_gamma 90.00
_space_group_name_H-M_alt 'P 4/m m m'
_space_group_IT_number 123
_space_group_name_Hall '-P 4 2'
loop_
_atom_site_label
_atom_site_fract_x
_atom_site_fract_y
_atom_site_fract_z
Si1 0.000 0.000 0.000
Tc1 0.000 0.500 0.500
Ag1 0.500 0.500 0.000
# VASP energy: -6.988 eV/atom
# Energy relative to the elements, uncorrected: 0.26 eV per atom

***

12.
# Si4TcAg PBE relaxed
data_Si4TcAg
_chemical_formula_sum 'Si16 Tc4 Ag4'
_cell_length_a 7.023
_cell_length_b 7.023
_cell_length_c 7.023
_cell_angle_alpha 90.00
_cell_angle_beta 90.00
_cell_angle_gamma 90.00
_space_group_name_H-M_alt 'F -4 3 m'
_space_group_IT_number 216
_space_group_name_Hall 'F -4 2 3'
loop_
_atom_site_label
_atom_site_fract_x
_atom_site_fract_y
_atom_site_fract_z
Si1 0.124 0.124 0.124
Tc1 0.250 0.250 0.750
Ag1 0.000 0.000 0.500
# VASP energy: -5.323 eV/atom
# Energy relative to the elements, uncorrected: 0.49 eV per atom

***

13.
# SiTc2Ag PBE relaxed
data_SiTc2Ag
_chemical_formula_sum 'Si1 Tc2 Ag1'
_cell_length_a 2.920
_cell_length_b 2.920
_cell_length_c 7.039
_cell_angle_alpha 90.00
_cell_angle_beta 90.00
_cell_angle_gamma 90.00
_space_group_name_H-M_alt 'P 4 m m'
_space_group_IT_number 99
_space_group_name_Hall 'P 4 -2'
loop_
_atom_site_label
_atom_site_fract_x
_atom_site_fract_y
_atom_site_fract_z
Si1 0.000 0.000 0.000
Tc1 0.000 0.000 0.440
Tc2 0.500 0.500 0.203
Ag1 0.500 0.500 0.740
# VASP energy: -7.152 eV/atom
# Energy relative to the elements, uncorrected: 0.10 eV per atom